[1]
{"formula": "Ac3NdP4", "functional": "PBE-GGA", "state": "relaxed", "lattice_angstrom": [[6.204, 0.000, 0.000], [0.000, 6.204, 0.000], [0.000, 0.000, 6.204]], "species": ["Ac", "Ac", "Ac", "Nd", "P", "P", "P", "P"], "frac_coords": [[0.000, 0.000, 0.500], [0.000, 0.500, 0.000], [0.500, 0.000, 0.000], [0.500, 0.500, 0.500], [0.000, 0.000, 0.000], [0.000, 0.500, 0.500], [0.500, 0.000, 0.500], [0.500, 0.500, 0.000]], "total_magnetization_mub_per_cell": 0.00, "relative_energy_mev_per_atom": 13, "formation_energy_ev_per_atom": -1.45}

***

[2]
{"formula": "AcNd4P5", "functional": "PBE-GGA", "state": "relaxed", "lattice_angstrom": [[7.006, -2.114, 0.000], [7.006, 2.114, 0.000], [-5.105, 0.000, 9.019]], "species": ["Ac", "Nd", "Nd", "Nd", "Nd", "P", "P", "P", "P", "P"], "frac_coords": [[0.000, 0.000, 0.000], [0.200, 0.200, 0.796], [0.401, 0.401, 0.599], [0.599, 0.599, 0.401], [0.800, 0.800, 0.204], [0.000, 0.000, 0.500], [0.203, 0.203, 0.308], [0.395, 0.395, 0.105], [0.605, 0.605, 0.895], [0.797, 0.797, 0.692]], "total_magnetization_mub_per_cell": 0.00, "formation_energy_ev_per_atom": -1.51}

***

[3]
{"formula": "Ac2NdP3", "functional": "PBE-GGA", "state": "relaxed", "lattice_angstrom": [[0.000, 6.163, 13.073], [4.359, 0.000, 13.073], [4.359, 6.163, 0.000]], "species": ["Ac", "Ac", "Ac", "Ac", "Ac", "Ac", "Ac", "Ac", "Nd", "Nd", "Nd", "Nd", "P", "P", "P", "P", "P", "P", "P", "P", "P", "P", "P", "P"], "frac_coords": [[0.042, 0.042, 0.208], [0.125, 0.125, 0.625], [0.208, 0.208, 0.042], [0.375, 0.375, 0.875], [0.625, 0.625, 0.125], [0.792, 0.792, 0.958], [0.875, 0.875, 0.375], [0.958, 0.958, 0.792], [0.292, 0.292, 0.458], [0.458, 0.458, 0.292], [0.542, 0.542, 0.708], [0.708, 0.708, 0.542], [0.040, 0.540, 0.220], [0.135, 0.615, 0.615], [0.220, 0.700, 0.040], [0.300, 0.780, 0.460], [0.385, 0.865, 0.865], [0.460, 0.960, 0.300], [0.540, 0.040, 0.700], [0.615, 0.135, 0.135], [0.700, 0.220, 0.540], [0.780, 0.300, 0.960], [0.865, 0.385, 0.385], [0.960, 0.460, 0.780]], "total_magnetization_mub_per_cell": 0.00, "formation_energy_ev_per_atom": -1.47}

***

[4]
{"formula": "Ac5NdP6", "functional": "PBE-GGA", "state": "relaxed", "lattice_angstrom": [[3.815, -6.608, 0.000], [3.815, 6.608, 0.000], [-2.545, 0.000, 7.193]], "species": ["Ac", "Ac", "Ac", "Ac", "Ac", "Nd", "P", "P", "P", "P", "P", "P"], "frac_coords": [[0.000, 0.000, 0.000], [0.166, 0.834, 0.500], [0.333, 0.667, 0.000], [0.667, 0.333, 0.000], [0.834, 0.166, 0.500], [0.500, 0.500, 0.500], [0.093, 0.418, 0.255], [0.257, 0.257, 0.745], [0.418, 0.093, 0.255], [0.582, 0.907, 0.745], [0.743, 0.743, 0.255], [0.907, 0.582, 0.745]], "total_magnetization_mub_per_cell": 0.00, "formation_energy_ev_per_atom": -1.47}

***

[5]
{"formula": "Ac3NdP4", "functional": "PBE-GGA", "state": "relaxed", "lattice_angstrom": [[4.385, -6.194, 0.000], [4.385, 6.194, 0.000], [0.000, 0.000, 4.383]], "species": ["Ac", "Ac", "Ac", "Nd", "P", "P", "P", "P"], "frac_coords": [[0.000, 0.000, 0.000], [0.000, 0.500, 0.500], [0.500, 0.000, 0.500], [0.500, 0.500, 0.000], [0.255, 0.745, 0.000], [0.259, 0.259, 0.500], [0.741, 0.741, 0.500], [0.745, 0.255, 0.000]], "total_magnetization_mub_per_cell": 0.00, "relative_energy_mev_per_atom": 0, "formation_energy_ev_per_atom": -1.46}

***

[6]
{"formula": "Ac4NdP5", "functional": "PBE-GGA", "state": "relaxed", "lattice_angstrom": [[-4.913, 4.913, 3.111], [4.913, -4.913, 3.111], [4.913, 4.913, -3.111]], "species": ["Ac", "Ac", "Ac", "Ac", "Nd", "P", "P", "P", "P", "P"], "frac_coords": [[0.099, 0.299, 0.398], [0.299, 0.901, 0.200], [0.701, 0.099, 0.800], [0.901, 0.701, 0.602], [0.500, 0.500, 0.000], [0.000, 0.000, 0.000], [0.208, 0.597, 0.805], [0.403, 0.208, 0.611], [0.597, 0.792, 0.389], [0.792, 0.403, 0.195]], "total_magnetization_mub_per_cell": 0.00, "formation_energy_ev_per_atom": -1.46}

***

[7]
{"formula": "AcNdP2", "functional": "PBE-GGA", "state": "relaxed", "lattice_angstrom": [[2.153, 1.243, 7.049], [-2.153, 1.243, 7.049], [0.000, -2.486, 7.049]], "species": ["Ac", "Nd", "P", "P"], "frac_coords": [[0.000, 0.000, 0.000], [0.500, 0.500, 0.500], [0.245, 0.245, 0.245], [0.755, 0.755, 0.755]], "total_magnetization_mub_per_cell": 0.00, "relative_energy_mev_per_atom": 0, "formation_energy_ev_per_atom": -1.48}

***

[8]
{"formula": "AcNdP2", "functional": "PBE-GGA", "state": "relaxed", "lattice_angstrom": [[4.263, 0.000, 0.000], [-2.131, 3.692, 0.000], [0.000, 0.000, 14.259]], "species": ["Ac", "Ac", "Nd", "Nd", "P", "P", "P", "P"], "frac_coords": [[0.333, 0.667, 0.250], [0.667, 0.333, 0.750], [0.000, 0.000, 0.000], [0.000, 0.000, 0.500], [0.333, 0.667, 0.617], [0.333, 0.667, 0.883], [0.667, 0.333, 0.117], [0.667, 0.333, 0.383]], "total_magnetization_mub_per_cell": 0.00, "relative_energy_mev_per_atom": 30, "formation_energy_ev_per_atom": -1.45}

***

Q: Which formula does entry 2 have?
A: AcNd4P5

***

Please write out number 8 again, unchanged.
{"formula": "AcNdP2", "functional": "PBE-GGA", "state": "relaxed", "lattice_angstrom": [[4.263, 0.000, 0.000], [-2.131, 3.692, 0.000], [0.000, 0.000, 14.259]], "species": ["Ac", "Ac", "Nd", "Nd", "P", "P", "P", "P"], "frac_coords": [[0.333, 0.667, 0.250], [0.667, 0.333, 0.750], [0.000, 0.000, 0.000], [0.000, 0.000, 0.500], [0.333, 0.667, 0.617], [0.333, 0.667, 0.883], [0.667, 0.333, 0.117], [0.667, 0.333, 0.383]], "total_magnetization_mub_per_cell": 0.00, "relative_energy_mev_per_atom": 30, "formation_energy_ev_per_atom": -1.45}

***

Copy entry 1 word for word.
{"formula": "Ac3NdP4", "functional": "PBE-GGA", "state": "relaxed", "lattice_angstrom": [[6.204, 0.000, 0.000], [0.000, 6.204, 0.000], [0.000, 0.000, 6.204]], "species": ["Ac", "Ac", "Ac", "Nd", "P", "P", "P", "P"], "frac_coords": [[0.000, 0.000, 0.500], [0.000, 0.500, 0.000], [0.500, 0.000, 0.000], [0.500, 0.500, 0.500], [0.000, 0.000, 0.000], [0.000, 0.500, 0.500], [0.500, 0.000, 0.500], [0.500, 0.500, 0.000]], "total_magnetization_mub_per_cell": 0.00, "relative_energy_mev_per_atom": 13, "formation_energy_ev_per_atom": -1.45}